Entry from Alexandria via LeMat-Bulk: an optimized crystal structure of SmDyHo4Se8 (PBE).

**Calculated density**: 6.309 g cm⁻³
**Total moment**: 0.000 μB/f.u.
**Formation energy (no corrections)**: -1.71 eV/atom
**Volume**: 422.3 Å³/cell
**Space-group type**: R3m, No. 160
**Total energy**: -79.43 eV per cell

Cell: 8.4179 8.4179 8.4242 Å, 60.02 60.02 60.00°
Atoms (fractional coordinates):
Se1 0.7793 0.2410 0.7387
Se2 0.2398 0.2398 0.2806
Se3 0.7573 0.7573 0.7282
Se4 0.2410 0.7793 0.7387
Se5 0.7563 0.2290 0.2583
Se6 0.2410 0.2410 0.7387
Se7 0.7563 0.7563 0.2583
Se8 0.2290 0.7563 0.2583
Dy1 0.9995 0.9995 0.0016
Ho1 0.9994 0.9994 0.4994
Ho2 0.6251 0.6251 0.1246
Ho3 0.9994 0.5018 0.4994
Ho4 0.5018 0.9994 0.4994
Sm1 0.3747 0.3747 0.8759

=====

Entry from Alexandria via LeMat-Bulk: an optimized crystal structure of K2HgBi (PBE).

**Calculated density**: 5.546 g cm⁻³
**Total moment**: 0.000 μB/f.u.
**Volume**: 146.0 Å³/cell
**Space-group type**: P4/mmm, No. 123
**Distance to the lowest polymorph of the same formula**: 22 meV/atom
**Total energy**: -7.42 eV per cell
**DFT formation energy**: -0.260 eV per atom

Cell: 3.8158 3.8158 10.0304 Å, 90.00 90.00 90.00°
Atoms (fractional coordinates):
K1 0.0000 0.0000 0.2545
K2 0.0000 0.0000 0.7455
Hg1 0.5000 0.5000 0.0000
Bi1 0.5000 0.5000 0.5000

=====

Entry from Alexandria via LeMat-Bulk: an optimized crystal structure of Tb2TmAg (PBE).

**Calculated density**: 8.712 g cm⁻³
**Total moment**: 0.000 μB/f.u.
**Volume**: 113.3 Å³/cell
**Space-group type**: R-3m, No. 166
**Distance to the lowest polymorph of the same formula**: 113 meV/atom
**Total energy**: -16.66 eV per cell
**DFT formation energy**: -0.019 eV per atom

Cell: 3.5344 3.5344 10.6745 Å, 80.47 80.47 60.00°
Atoms (fractional coordinates):
Tm1 0.5000 0.5000 0.5000
Ag1 0.0000 0.0000 0.0000
Tb1 0.2574 0.2574 0.2277
Tb2 0.7426 0.7426 0.7723

=====

Entry from Alexandria via LeMat-Bulk: an optimized crystal structure of Pr2CdCu3Sn4 (PBE).

**Calculated density**: 7.748 g cm⁻³
**Total moment**: 0.000 μB/f.u.
**Volume**: 227.1 Å³/cell
**Space-group type**: P-4m2, No. 115
**Total energy**: -42.70 eV per cell
**DFT formation energy**: -0.393 eV per atom

Cell: 4.4659 4.4659 11.3880 Å, 90.00 90.00 90.00°
Atoms (fractional coordinates):
Sn1 0.0000 0.5000 0.3532
Sn2 0.5000 0.5000 0.0000
Sn3 0.5000 0.0000 0.6468
Sn4 0.0000 0.0000 0.0000
Cu1 0.0000 0.0000 0.5000
Cu2 0.5000 0.0000 0.8687
Cu3 0.0000 0.5000 0.1313
Pr1 0.0000 0.5000 0.7547
Pr2 0.5000 0.0000 0.2453
Cd1 0.5000 0.5000 0.5000

=====

Entry from Alexandria via LeMat-Bulk: an optimized crystal structure of Pr3TmHg12 (PBE).

**Calculated density**: 12.042 g cm⁻³
**Total moment**: 0.000 μB/f.u.
**Volume**: 413.5 Å³/cell
**Space-group type**: P4/mmm, No. 123
**Total energy**: -27.76 eV per cell
**DFT formation energy**: -0.333 eV per atom

Cell: 4.6987 4.6987 18.7294 Å, 90.00 90.00 90.00°
Atoms (fractional coordinates):
Pr1 0.0000 0.0000 0.2432
Pr2 0.0000 0.0000 0.7568
Pr3 0.0000 0.0000 0.5000
Hg1 0.5000 0.5000 0.0000
Hg2 0.5000 0.5000 0.7559
Hg3 0.0000 0.5000 0.3722
Hg4 0.5000 0.0000 0.6278
Hg5 0.0000 0.5000 0.1179
Hg6 0.5000 0.0000 0.3722
Hg7 0.5000 0.5000 0.2441
Hg8 0.5000 0.0000 0.8821
Hg9 0.5000 0.5000 0.5000
Hg10 0.0000 0.5000 0.6278
Hg11 0.0000 0.5000 0.8821
Hg12 0.5000 0.0000 0.1179
Tm1 0.0000 0.0000 0.0000

=====

Entry from Alexandria via LeMat-Bulk: an optimized crystal structure of La6Pr2Ho5 (PBE).

**Calculated density**: 7.040 g cm⁻³
**Total moment**: 0.000 μB/f.u.
**Volume**: 915.2 Å³/cell
**Space-group type**: Pbam, No. 55
**Total energy**: -121.16 eV per cell
**DFT formation energy**: 0.110 eV per atom

Cell: 3.6618 12.0537 20.7347 Å, 90.00 90.00 90.00°
Atoms (fractional coordinates):
La1 0.5000 0.8150 0.3772
La2 0.0000 0.9554 0.9221
La3 0.5000 0.3150 0.1228
La4 0.5000 0.6850 0.8772
La5 0.0000 0.4554 0.5779
La6 0.0000 0.0446 0.0779
La7 0.0000 0.0726 0.3627
La8 0.5000 0.1850 0.6228
La9 0.0000 0.4274 0.8627
La10 0.0000 0.5446 0.4221
La11 0.0000 0.5726 0.1373
La12 0.0000 0.9274 0.6373
Pr1 0.0000 0.6656 0.7165
Pr2 0.0000 0.3344 0.2835
Pr3 0.0000 0.1656 0.7835
Pr4 0.0000 0.8344 0.2165
Ho1 0.5000 0.9059 0.7781
Ho2 0.5000 0.5941 0.2781
Ho3 0.5000 0.7098 0.5562
Ho4 0.5000 0.0000 0.5000
Ho5 0.5000 0.7902 0.0562
Ho6 0.5000 0.2098 0.9438
Ho7 0.5000 0.5000 0.0000
Ho8 0.5000 0.0941 0.2219
Ho9 0.5000 0.4059 0.7219
Ho10 0.5000 0.2902 0.4438

=====

Entry from Alexandria via LeMat-Bulk: an optimized crystal structure of Rb2BaTl12In3 (PBE).

**Calculated density**: 7.341 g cm⁻³
**Total moment**: 0.000 μB/f.u.
**Volume**: 702.4 Å³/cell
**Space-group type**: R-3m, No. 166
**Total energy**: -39.84 eV per cell
**DFT formation energy**: 0.035 eV per atom

Cell: 12.0133 12.0133 12.0133 Å, 42.01 42.01 42.01°
Atoms (fractional coordinates):
Tl1 0.5836 0.2033 0.5836
Tl2 0.7967 0.4164 0.4164
Tl3 0.5836 0.5836 0.2033
Tl4 0.5361 0.1272 0.1272
Tl5 0.4164 0.7967 0.4164
Tl6 0.2033 0.5836 0.5836
Tl7 0.8728 0.8728 0.4639
Tl8 0.4164 0.4164 0.7967
Tl9 0.4639 0.8728 0.8728
Tl10 0.1272 0.5361 0.1272
Tl11 0.1272 0.1272 0.5361
Tl12 0.8728 0.4639 0.8728
Ba1 0.0000 0.0000 0.0000
In1 0.5000 0.0000 0.0000
In2 0.0000 0.5000 0.0000
In3 0.0000 0.0000 0.5000
Rb1 0.3592 0.3592 0.3592
Rb2 0.6408 0.6408 0.6408

=====

Entry from Alexandria via LeMat-Bulk: an optimized crystal structure of SrPt (PBE).

**Calculated density**: 7.433 g cm⁻³
**Total moment**: 0.000 μB/f.u.
**Volume**: 505.2 Å³/cell
**Space-group type**: I4/m, No. 87
**Total energy**: -71.12 eV per cell
**DFT formation energy**: -0.584 eV per atom

Cell: 10.4068 10.4068 4.6651 Å, 90.00 90.00 90.00°
Atoms (fractional coordinates):
Sr1 0.9114 0.7366 0.5000
Sr2 0.2366 0.5886 0.0000
Sr3 0.4114 0.2366 0.0000
Sr4 0.7634 0.4114 0.0000
Sr5 0.0886 0.2634 0.5000
Sr6 0.2634 0.9114 0.5000
Sr7 0.5886 0.7634 0.0000
Sr8 0.7366 0.0886 0.5000
Pt1 0.3344 0.4217 0.5000
Pt2 0.4217 0.6656 0.5000
Pt3 0.5783 0.3344 0.5000
Pt4 0.6656 0.5783 0.5000
Pt5 0.1656 0.0783 0.0000
Pt6 0.0783 0.8344 0.0000
Pt7 0.8344 0.9217 0.0000
Pt8 0.9217 0.1656 0.0000

=====

Entry from Alexandria via LeMat-Bulk: an optimized crystal structure of U2Nb2S7 (PBE).

**Calculated density**: 7.212 g cm⁻³
**Total moment**: 5.526 μB/f.u.
**Formation energy (no corrections)**: -1.06 eV/atom
**Volume**: 204.1 Å³/cell
**Space-group type**: Imm2, No. 44
**Total energy**: -83.24 eV per cell

Cell: 3.5898 8.2481 8.2481 Å, 59.68 77.43 77.43°
Each line ends with the local moment (μB).
Atoms (fractional coordinates):
S1 0.6003 0.4940 0.3055  -0.04
S2 0.1332 0.1599 0.5737  -0.05
S3 0.5000 0.0128 0.9872  -0.04
S4 0.3997 0.6945 0.5060  -0.04
S5 0.8668 0.4263 0.8401  -0.05
S6 0.1694 0.7159 0.9453  -0.07
S7 0.8306 0.0547 0.2841  -0.07
Nb1 0.5000 0.3206 0.6794  0.39
Nb2 0.0000 0.7771 0.2229  0.33
U1 0.2633 0.3357 0.1377  2.29
U2 0.7367 0.8623 0.6643  2.29